# 1
Ba4HAu: relaxed, GGA-PBE.

Output
Raw total energy in eV/f.u.: -16.57
Distance to the lowest polymorph of the same formula in meV per atom: 0
Size of the total moment in μB per formula unit: 0.2

a b c (Å): 7.676 7.676 9.494
angles (deg): 90.00 90.00 89.40
Positions (direct):
Ba 0.710 0.710 0.984
Ba 0.794 0.187 0.750
Ba 0.710 0.710 0.516
Au 0.486 0.486 0.750
Ba 0.813 0.206 0.250
Ba 0.187 0.794 0.750
H 0.848 0.848 0.750
Au 0.514 0.514 0.250
Ba 0.290 0.290 0.484
Ba 0.206 0.813 0.250
Ba 0.290 0.290 0.016
H 0.152 0.152 0.250


# 2
Pm3B9Os2: relaxed, GGA-PBE.

Output
Raw total energy in eV/f.u.: -98.98
Calculated formation energy in eV/atom: -0.1549
Size of the total moment in μB per formula unit: 0.0

a b c (Å): 3.159 8.212 8.212
angles (deg): 60.57 78.91 78.91
Positions (direct):
Pm 0.734 0.266 0.266
Pm 0.266 0.734 0.734
Os 0.500 0.667 0.333
B 0.367 0.329 0.938
B 0.128 0.124 0.620
B 0.633 0.062 0.671
B 0.000 0.500 0.500
B 0.128 0.620 0.124
B 0.872 0.380 0.876
Os 0.500 0.333 0.667
B 0.367 0.938 0.329
B 0.872 0.876 0.380
B 0.633 0.671 0.062
Pm 0.000 0.000 0.000